# 1
Material: KNaLiIn
Method: DFT, PBE-GGA
State: optimized geometry

energy of formation from the pure elements = 0.01 eV/atom
total magnetization = 0.00 Bohr magnetons per cell
calculated density = 2.47 Mg/m³
space group = No. 216

Cell and atoms, written as POSCAR:
```
KNaLiIn
1.0
0.000 3.955 3.955
3.955 0.000 3.955
3.955 3.955 0.000
K Na Li In
1 1 1 1
Direct
0.000 0.000 0.000
0.250 0.250 0.250
0.750 0.750 0.750
0.500 0.500 0.500
```

=====

# 2
Material: K2LiIn12Ni3
Method: DFT, PBE-GGA
State: optimized geometry

energy of formation from the pure elements = 0.02 eV/atom
total magnetization = 0.00 Bohr magnetons per cell
calculated density = 4.96 Mg/m³
space group = No. 166

Cell and atoms, written as POSCAR:
```
K2LiIn12Ni3
1.0
4.862 2.807 6.700
-4.862 2.807 6.700
0.000 -5.614 6.700
K Li In Ni
2 1 12 3
Direct
0.099 0.099 0.099
0.901 0.901 0.901
0.500 0.500 0.500
0.134 0.623 0.623
0.222 0.222 0.571
0.222 0.571 0.222
0.377 0.377 0.866
0.377 0.866 0.377
0.429 0.778 0.778
0.571 0.222 0.222
0.623 0.134 0.623
0.623 0.623 0.134
0.778 0.429 0.778
0.778 0.778 0.429
0.866 0.377 0.377
0.000 0.500 0.500
0.500 0.000 0.500
0.500 0.500 0.000
```

=====

# 3
Material: KLiIn2Ni
Method: DFT, PBE-GGA
State: optimized geometry

energy of formation from the pure elements = -0.08 eV/atom
total magnetization = 0.00 Bohr magnetons per cell
calculated density = 4.26 Mg/m³
space group = No. 123

Cell and atoms, written as POSCAR:
```
KLiIn2Ni
1.0
4.984 0.000 0.000
0.000 4.984 0.000
0.000 0.000 5.244
K Li In Ni
1 1 2 1
Direct
0.000 0.000 0.000
0.500 0.500 0.000
0.000 0.500 0.500
0.500 0.000 0.500
0.500 0.500 0.500
```

=====

# 4
Material: KLiIn2O4
Method: DFT, PBE-GGA
State: optimized geometry

energy relative to the elements, uncorrected = -1.598 eV/atom
total magnetization = 0.00 Bohr magnetons per cell
calculated density = 5.33 Mg/m³
space group = No. 63

Cell and atoms, written as POSCAR:
```
KLiIn2O4
1.0
1.675 -5.564 0.000
1.675 5.564 0.000
0.000 0.000 11.349
K Li In O
2 2 4 8
Direct
0.101 0.899 0.750
0.899 0.101 0.250
0.175 0.825 0.250
0.825 0.175 0.750
0.365 0.635 0.559
0.365 0.635 0.941
0.635 0.365 0.059
0.635 0.365 0.441
0.000 0.000 0.000
0.000 0.000 0.500
0.257 0.743 0.103
0.257 0.743 0.397
0.411 0.589 0.750
0.589 0.411 0.250
0.743 0.257 0.603
0.743 0.257 0.897
```